YCo2Os, relaxed, DFT PBE; calculated volume = 63 Å³/f.u.; space group = No. 216; distance to the lowest polymorph of the same formula = 435 meV per atom; ΔH_f (0 K) = 0.40 eV per atom
1.0
-0.940 -0.817 4.298
3.282 -1.087 2.841
1.277 2.900 3.160
Y Co Os
1 2 1
direct
0.250 0.250 0.250
0.750 0.750 0.750
0.000 0.000 0.000
0.500 0.500 0.500

=====

YCo2Os, relaxed, DFT PBE; calculated volume = 62 Å³/f.u.; space group = No. 8; distance to the lowest polymorph of the same formula = 274 meV per atom; ΔH_f (0 K) = 0.24 eV per atom
1.0
-1.582 -1.524 -4.064
-3.013 -2.911 -1.945
-3.961 2.955 -0.739
Co Y Os
2 1 1
direct
0.251 0.251 0.276
0.984 0.984 0.042
0.748 0.748 0.770
0.517 0.517 0.411

=====

YCoOs2, relaxed, DFT PBE; calculated volume = 64 Å³/f.u.; space group = No. 123; distance to the lowest polymorph of the same formula = 125 meV per atom; ΔH_f (0 K) = 0.32 eV per atom
1.0
2.929 0.000 0.000
0.000 2.929 0.000
0.000 0.000 7.449
Co Os Y
1 2 1
direct
0.500 0.500 0.750
0.000 0.000 0.555
0.000 0.000 0.945
0.500 0.500 0.250

=====

YCo2Os, relaxed, DFT PBE; calculated volume = 61 Å³/f.u.; space group = No. 10; distance to the lowest polymorph of the same formula = 241 meV per atom; ΔH_f (0 K) = 0.20 eV per atom
1.0
-3.244 -0.658 1.520
0.024 -2.564 -1.060
2.753 -4.562 3.899
Co Os Y
2 1 1
direct
0.000 0.946 0.053
0.000 0.554 0.447
0.500 0.250 0.250
0.500 0.750 0.750

=====

YCo2Os, relaxed, DFT PBE; calculated volume = 60 Å³/f.u.; space group = No. 123; distance to the lowest polymorph of the same formula = 290 meV per atom; ΔH_f (0 K) = 0.25 eV per atom
1.0
-0.432 0.714 2.760
1.784 -2.110 0.826
5.583 4.596 -0.315
Co Y Os
2 1 1
direct
0.000 0.000 0.458
0.000 0.000 0.042
0.500 0.500 0.750
0.500 0.500 0.250

=====

YCoOs2, relaxed, DFT PBE; calculated volume = 64 Å³/f.u.; space group = No. 12; distance to the lowest polymorph of the same formula = 223 meV per atom; ΔH_f (0 K) = 0.41 eV per atom
1.0
5.419 0.009 -0.003
-2.752 4.668 -0.003
0.618 1.083 2.528
Y Co Os
1 1 2
direct
0.500 0.000 0.500
0.000 0.500 0.500
0.500 0.500 0.000
0.000 0.000 0.000

=====

YCoOs2, relaxed, DFT PBE; calculated volume = 63 Å³/f.u.; space group = No. 71; distance to the lowest polymorph of the same formula = 26 meV per atom; ΔH_f (0 K) = 0.22 eV per atom
1.0
-0.228 -1.532 -5.481
4.093 -2.845 -2.754
-3.890 0.421 4.138
Co Os Y
1 2 1
direct
0.250 0.750 0.500
0.465 0.465 0.000
0.035 0.035 0.000
0.750 0.250 0.500

=====

YCo4Os2, relaxed, DFT PBE; calculated volume = 129 Å³/f.u.; space group = No. 139; ΔH_f (0 K) = 1.53 eV per atom
1.0
-2.474 0.051 -3.819
2.442 -3.478 -1.628
-4.040 -5.734 -0.171
Co Y Os
4 1 2
direct
0.500 0.000 0.000
0.221 0.221 0.557
0.779 0.779 0.443
0.000 0.500 0.000
0.000 0.000 0.000
0.597 0.597 0.806
0.403 0.403 0.194

=====

| no. | energy (eV per cell) |
| --- | --- |
| 1 | -30.32 |
| 2 | -30.96 |
| 3 | -34.76 |
| 4 | -31.09 |
| 5 | -30.90 |
| 6 | -34.37 |
| 7 | -35.16 |
| 8 | -46.65 |